# Ga2TeAs2 GGA-PBEsol optimized geometry
# Space group: I4/mmm
# Energy relative to the elements, uncorrected, eV/f.u.: 0.8
# E_tot, eV per atom: -3.93
data_Ga2TeAs2
_symmetry_space_group_name_H-M 'P 1'
_symmetry_Int_Tables_number 1
_cell_length_a 4.6190
_cell_length_b 4.6190
_cell_length_c 5.8640
_cell_angle_alpha 113.19
_cell_angle_beta 113.19
_cell_angle_gamma 90.00
loop_
_symmetry_equiv_pos_as_xyz
'x,y,z'
loop_
_atom_site_label
_atom_site_fract_x
_atom_site_fract_y
_atom_site_fract_z
As1 0.2500 0.7500 0.5000
As2 0.7500 0.2500 0.5000
Te1 0.0000 0.0000 0.0000
Ga1 0.3759 0.3759 0.7517
Ga2 0.6241 0.6241 0.2483